Below is a relaxed NdEuHgSb crystal, with properties calculated at the PBE level.

The density of states at the Fermi level is 16.63 states/eV per cell. Its volume is 29.1 A^3/atom. The calculation puts the magnetization at 30.94 Bohr magnetons per cell. Its formation energy without anion corrections is -2.8 eV/f.u.

The space group is F-43m (No. 216) and the conventional cell measures 7.755, 7.755 and 7.755 Å, with angles of 90.00, 90.00 and 90.00 degrees. The asymmetric unit holds Nd at (0.000, 0.000, 0.000), Eu at (0.000, 0.000, 0.500), Hg at (0.250, 0.250, 0.750) and Sb at (0.250, 0.250, 0.250).